(1)
Compound: Cu2ReSi
Source: the Alexandria database
Functional: GGA-PBE
Structure: relaxed

Calculated values
Fermi-level density of states	1.86	states/eV/cell
final energy	-6.4232	eV/atom
ΔE_f (raw)	93	meV/atom
symmetry	P4mm, No. 99

The structure in POSCAR format:
```
Cu2ReSi
1.0
3.040 0.000 0.000
0.000 3.040 0.000
0.000 0.000 5.559
Cu Re Si
2 1 1
direct
0.000 0.000 0.000
0.500 0.500 0.224
0.000 0.000 0.514
0.500 0.500 0.745
```

(2)
Compound: Cu2ReSi2
Source: the Alexandria database
Functional: GGA-PBE
Structure: relaxed

Calculated values
Fermi-level density of states	2.25	states/eV/cell
final energy	-6.1138	eV/atom
energy above the most stable polymorph in this dataset	66	meV per atom
ΔE_f (raw)	184	meV/atom
symmetry	I4/mmm, No. 139

The structure in POSCAR format:
```
Cu2ReSi2
1.0
-1.607 1.607 6.552
1.607 -1.607 6.552
1.607 1.607 -6.552
Cu Re Si
2 1 2
direct
0.250 0.750 0.500
0.750 0.250 0.500
0.000 0.000 0.000
0.399 0.399 0.000
0.601 0.601 0.000
```

(3)
Compound: Cu2ReSi
Source: the Alexandria database
Functional: GGA-PBE
Structure: relaxed

Calculated values
Fermi-level density of states	1.13	states/eV/cell
final energy	-6.4147	eV/atom
ΔE_f (raw)	101	meV/atom
symmetry	C2/m, No. 12

The structure in POSCAR format:
```
Cu2ReSi
1.0
2.501 -4.595 0.000
2.501 4.595 0.000
-1.292 0.000 2.304
Cu Re Si
2 1 1
direct
0.000 0.500 0.000
0.500 0.000 0.000
0.000 0.000 0.500
0.500 0.500 0.500
```

(4)
Compound: Cu2ReSi
Source: the Alexandria database
Functional: GGA-PBE
Structure: relaxed

Calculated values
Fermi-level density of states	1.66	states/eV/cell
final energy	-6.3632	eV/atom
ΔE_f (raw)	153	meV/atom
symmetry	Cmmm, No. 65

The structure in POSCAR format:
```
Cu2ReSi
1.0
2.512 -4.034 0.000
2.512 4.034 0.000
0.000 0.000 2.598
Cu Re Si
2 1 1
direct
0.000 0.500 0.000
0.500 0.000 0.000
0.000 0.000 0.500
0.500 0.500 0.500
```

(5)
Compound: Cu2ReSi
Source: the Alexandria database
Functional: GGA-PBE
Structure: relaxed

Calculated values
Fermi-level density of states	7.97	states/eV/cell
final energy	-6.0540	eV/atom
ΔE_f (raw)	462	meV/atom
symmetry	I-42d, No. 122

The structure in POSCAR format:
```
Cu2ReSi
1.0
-1.736 1.736 9.318
1.736 -1.736 9.318
1.736 1.736 -9.318
Cu Re Si
4 2 2
direct
0.123 0.625 0.998
0.375 0.373 0.498
0.627 0.125 0.002
0.875 0.877 0.502
0.250 0.750 0.500
0.500 0.500 0.000
0.000 0.000 0.000
0.750 0.250 0.500
```

(6)
Compound: Cu2ReSi2
Source: the Alexandria database
Functional: GGA-PBE
Structure: relaxed

Calculated values
Fermi-level density of states	4.92	states/eV/cell
final energy	-5.6622	eV/atom
energy above the most stable polymorph in this dataset	518	meV per atom
ΔE_f (raw)	635	meV/atom
symmetry	I4/mmm, No. 139

The structure in POSCAR format:
```
Cu2ReSi2
1.0
-1.746 1.746 5.540
1.746 -1.746 5.540
1.746 1.746 -5.540
Cu Re Si
2 1 2
direct
0.105 0.105 0.000
0.895 0.895 0.000
0.500 0.500 0.000
0.250 0.750 0.500
0.750 0.250 0.500
```

Question: Look up the final energy of the sixth one.
Answer: -5.6622 eV/atom

Question: Which formula does entry 6 have?
Answer: Cu2ReSi2

Question: The highest final energy belongs to which entry?
Answer: number 6